Record 1
ReBiC3 at its PBEsol-relaxed geometry. Source: Alexandria via LeMat-Bulk, functional meta-GGA SCAN.

As for the crystal system: cubic. The value obtained for the density of states at the Fermi level is 0.47 states/eV/atom. The value obtained for the total energy is -34.137 eV/atom.

The space group is Pm-3m (No. 221) and the conventional cell measures 4.068, 4.068 and 4.068 Å, with angles of 90.00, 90.00 and 90.00 degrees. The distinct sites, in fractional coordinates, are Re at (0.000, 0.000, 0.000), Bi at (0.500, 0.500, 0.500) and C at (0.000, 0.000, 0.500).

***

Record 2
LiAs2Cl at its PBEsol-relaxed geometry. Source: Alexandria via LeMat-Bulk, functional meta-GGA SCAN.

The calculation puts the polymorph energy (0 for the lowest one) at 0.0 meV/atom. The value obtained for the raw formation energy is -359 kJ/mol of formula units. As for the crystal system: trigonal. The value obtained for the density of states at the Fermi level is 0.00 states/eV/atom. The value obtained for the total energy is -13.619 eV/atom.

The space group is P3m1 (No. 156) and the conventional cell measures 3.6679, 3.6679 and 7.7080 Å, with angles of 90.00, 90.00 and 120.00 degrees. The distinct sites, in fractional coordinates, are Li at (0.0000, 0.0000, 0.0000), As at (0.0000, 0.0000, 0.6376), As at (0.6667, 0.3333, 0.4620) and Cl at (0.3333, 0.6667, 0.0942).

***

Record 3
NaHf3Os at its PBEsol-relaxed geometry. Source: Alexandria via LeMat-Bulk, functional meta-GGA SCAN.

As for the crystal system: cubic. The value obtained for the density of states at the Fermi level is 1.19 states/eV/atom. The value obtained for the total energy is -50.752 eV/atom.

The space group is Pm-3m (No. 221) and the conventional cell measures 4.675, 4.675 and 4.675 Å, with angles of 90.00, 90.00 and 90.00 degrees. The distinct sites, in fractional coordinates, are Na at (0.000, 0.000, 0.000), Hf at (0.000, 0.000, 0.500) and Os at (0.500, 0.500, 0.500).

***

Record 4
In2SbW at its PBEsol-relaxed geometry. Source: Alexandria via LeMat-Bulk, functional meta-GGA SCAN.

The value obtained for the raw formation energy is 244 kJ/mol of formula units. As for the crystal system: tetragonal. The value obtained for the density of states at the Fermi level is 0.69 states/eV/atom. The value obtained for the total energy is -42.798 eV/atom.

The space group is P4/mmm (No. 123) and the conventional cell measures 2.944, 2.944 and 9.971 Å, with angles of 90.00, 90.00 and 90.00 degrees. The distinct sites, in fractional coordinates, are In at (0.000, 0.000, 0.212), Sb at (0.500, 0.500, 0.500) and W at (0.500, 0.500, 0.000).

***

Record 5
Sr2MgCo at its PBEsol-relaxed geometry. Source: Alexandria via LeMat-Bulk, functional meta-GGA SCAN.

As for the crystal system: cubic. The value obtained for the density of states at the Fermi level is 1.32 states/eV/atom. The value obtained for the total energy is -16.140 eV/atom.

The space group is F-43m (No. 216) and the conventional cell measures 7.437, 7.437 and 7.437 Å, with angles of 90.00, 90.00 and 90.00 degrees. The distinct sites, in fractional coordinates, are Sr at (0.000, 0.000, 0.000), Sr at (0.250, 0.250, 0.250), Mg at (0.000, 0.000, 0.500) and Co at (0.250, 0.250, 0.750).

***

Record 6
CrBr2Cl at its PBEsol-relaxed geometry. Source: Alexandria via LeMat-Bulk, functional meta-GGA SCAN.

The calculation puts the polymorph energy (0 for the lowest one) at 198.2 meV/atom. The value obtained for the raw formation energy is -90 kJ/mol of formula units. As for the crystal system: monoclinic. The value obtained for the density of states at the Fermi level is 0.40 states/eV/atom. The value obtained for the total energy is -16.553 eV/atom.

The space group is C2/m (No. 12) and the conventional cell measures 5.015, 10.958 and 4.113 Å, with angles of 90.00, 117.96 and 90.00 degrees. The distinct sites, in fractional coordinates, are Cr at (0.000, 0.000, 0.000), Br at (0.250, 0.250, 0.500) and Cl at (0.000, 0.500, 0.000).

***

- Among the records above, which one has the lowest density of states at the Fermi level?
  LiAs2Cl